Entry 1:
A PBEsol-optimized structure of FeSiIr2. Source: the Alexandria database, functional SCAN.

- SG: Cm
- VASP energy: -171.50 eV/cell

Cell and atoms, written as POSCAR:
```
FeSiIr2
1.0
-0.188 -2.705 0.272
3.741 -0.030 2.280
-3.394 1.873 2.629
Fe Ir Si
1 2 1
Direct
0.229 0.785 0.458
0.771 0.307 0.542
0.986 0.949 0.971
0.515 0.459 0.029
```

***

Entry 2:
A PBEsol-optimized structure of Fe2SiIr. Source: the Alexandria database, functional SCAN.

- SG: Pmmm
- VASP energy: -119.00 eV/cell

Cell and atoms, written as POSCAR:
```
Fe2SiIr
1.0
2.845 0.000 0.000
0.000 4.044 0.000
0.000 0.000 4.148
Fe Ir Si
2 1 1
Direct
0.000 0.000 0.000
0.500 0.500 0.000
0.500 0.000 0.500
0.000 0.500 0.500
```

***

Entry 3:
A PBEsol-optimized structure of Fe2SiIr. Source: the Alexandria database, functional SCAN.

- SG: Cmmm
- VASP energy: -118.32 eV/cell

Cell and atoms, written as POSCAR:
```
Fe2SiIr
1.0
-0.830 -0.881 -2.364
-3.732 -1.431 1.843
-0.290 4.148 -1.444
Fe Si Ir
2 1 1
Direct
0.000 0.500 0.000
0.000 0.000 0.500
0.500 0.500 0.500
0.500 0.000 0.000
```

***

Entry 4:
A PBEsol-optimized structure of FeSiIr2. Source: the Alexandria database, functional SCAN.

- SG: Cmmm
- VASP energy: -171.90 eV/cell

Cell and atoms, written as POSCAR:
```
FeSiIr2
1.0
2.738 0.000 0.000
0.000 4.361 0.046
0.000 -0.999 4.245
Ir Si Fe
2 1 1
Direct
0.000 0.000 0.500
0.000 0.500 0.000
0.500 0.000 0.000
0.500 0.500 0.500
```

***

Entry 5:
A PBEsol-optimized structure of Fe2SiIr. Source: the Alexandria database, functional SCAN.

- SG: I4/mmm
- VASP energy: -118.26 eV/cell

Cell and atoms, written as POSCAR:
```
Fe2SiIr
1.0
3.556 0.000 0.000
0.000 3.556 0.000
-1.778 -1.778 3.602
Fe Ir Si
2 1 1
Direct
0.750 0.250 0.500
0.250 0.750 0.500
0.500 0.500 0.000
0.000 0.000 0.000
```

***

Entry 6:
A PBEsol-optimized structure of FeSiIr2. Source: the Alexandria database, functional SCAN.

- SG: P4/mmm
- VASP energy: -172.36 eV/cell

Cell and atoms, written as POSCAR:
```
FeSiIr2
1.0
-2.400 -0.561 -1.351
0.216 -2.703 0.740
-3.392 1.238 5.510
Si Fe Ir
1 1 2
Direct
0.500 0.500 0.000
0.500 0.500 0.500
0.000 0.000 0.225
0.000 0.000 0.775
```

***

Entry 7:
A PBEsol-optimized structure of SrFeIr2. Source: the Alexandria database, functional SCAN.

- SG: F-43m
- VASP energy: -180.19 eV/cell
- Energy above the most stable polymorph in this dataset: 0.282 eV/f.u.
- Calculated formation energy: 2.410 eV per formula unit

Cell and atoms, written as POSCAR:
```
SrFeIr2
1.0
4.563 0.000 0.000
2.281 3.951 0.000
2.281 1.317 3.725
Sr Ir Fe
1 2 1
Direct
0.250 0.250 0.250
0.000 0.000 0.000
0.750 0.750 0.750
0.500 0.500 0.500
```

***

Entry 8:
A PBEsol-optimized structure of SrFe2Ir. Source: the Alexandria database, functional SCAN.

- SG: Imm2
- VASP energy: -127.55 eV/cell
- Calculated formation energy: 2.083 eV per formula unit

Cell and atoms, written as POSCAR:
```
SrFe2Ir
1.0
2.815 0.000 0.000
0.000 4.818 0.000
-1.408 -2.409 4.768
Fe Sr Ir
2 1 1
Direct
0.743 0.243 0.487
0.041 0.041 0.081
0.253 0.753 0.505
0.463 0.463 0.927
```

***

Entry 9:
A PBEsol-optimized structure of SrFe2Ir. Source: the Alexandria database, functional SCAN.

- SG: P4mm
- VASP energy: -128.52 eV/cell
- Calculated formation energy: 1.116 eV per formula unit

Cell and atoms, written as POSCAR:
```
SrFe2Ir
1.0
3.037 0.000 0.000
0.000 3.037 0.000
0.000 0.000 7.239
Fe Ir Sr
2 1 1
Direct
0.000 0.000 0.082
0.500 0.500 0.239
0.000 0.000 0.431
0.500 0.500 0.747
```

***

Entry 10:
A PBEsol-optimized structure of SrFeIr2. Source: the Alexandria database, functional SCAN.

- SG: R3m
- VASP energy: -179.75 eV/cell
- Energy above the most stable polymorph in this dataset: 0.722 eV/f.u.
- Calculated formation energy: 2.850 eV per formula unit

Cell and atoms, written as POSCAR:
```
SrFeIr2
1.0
-0.314 -1.531 -2.317
1.151 -2.542 -0.162
-7.712 -5.210 2.801
Ir Fe Sr
2 1 1
Direct
0.741 0.741 0.778
0.997 0.997 0.008
0.262 0.262 0.213
0.500 0.500 0.501
```

***

Entry 11:
A PBEsol-optimized structure of SrFeIr2. Source: the Alexandria database, functional SCAN.

- SG: P4/mmm
- VASP energy: -180.47 eV/cell
- Energy above the most stable polymorph in this dataset: 0.000 eV/f.u.
- Calculated formation energy: 2.129 eV per formula unit

Cell and atoms, written as POSCAR:
```
SrFeIr2
1.0
4.131 0.000 0.000
0.000 4.131 0.000
0.000 0.000 3.977
Sr Ir Fe
1 2 1
Direct
0.500 0.500 0.500
0.500 0.000 0.000
0.000 0.500 0.000
0.000 0.000 0.500
```

***

Entry 12:
A PBEsol-optimized structure of SrFe2Ir. Source: the Alexandria database, functional SCAN.

- SG: Fm-3m
- VASP energy: -127.57 eV/cell
- Calculated formation energy: 2.062 eV per formula unit

Cell and atoms, written as POSCAR:
```
SrFe2Ir
1.0
-0.792 -2.928 -3.328
3.394 -2.378 -1.762
0.290 -4.426 0.778
Sr Fe Ir
1 2 1
Direct
0.500 0.500 0.500
0.750 0.750 0.750
0.250 0.250 0.250
0.000 0.000 0.000
```

***

Entry 13:
A PBEsol-optimized structure of TaFeIr2. Source: the Alexandria database, functional SCAN.

- SG: R3m
- VASP energy: -227.11 eV/cell
- Calculated formation energy: -0.198 eV per formula unit

Cell and atoms, written as POSCAR:
```
TaFeIr2
1.0
-2.578 0.767 0.475
-1.715 0.391 -2.089
-3.877 -8.096 -0.116
Fe Ta Ir
1 1 2
Direct
0.254 0.254 0.239
0.501 0.501 0.496
0.996 0.996 0.013
0.749 0.749 0.752
```

***

Entry 14:
A PBEsol-optimized structure of TaFeIr. Source: the Alexandria database, functional SCAN.

- SG: F-43m
- VASP energy: -155.91 eV/cell
- Calculated formation energy: -0.093 eV per formula unit

Cell and atoms, written as POSCAR:
```
TaFeIr
1.0
-1.233 3.089 2.546
-3.840 1.627 -0.388
-2.893 -0.736 2.938
Ir Fe Ta
1 1 1
Direct
0.250 0.250 0.250
0.500 0.500 0.500
0.000 0.000 0.000
```

***

Entry 15:
A PBEsol-optimized structure of TaFeIr. Source: the Alexandria database, functional SCAN.

- SG: F-43m
- VASP energy: -155.13 eV/cell
- Calculated formation energy: 0.681 eV per formula unit

Cell and atoms, written as POSCAR:
```
TaFeIr
1.0
4.131 0.000 0.000
2.065 3.577 0.000
2.065 1.192 3.373
Fe Ta Ir
1 1 1
Direct
0.000 0.000 0.000
0.250 0.250 0.250
0.500 0.500 0.500
```

***

Entry 16:
A PBEsol-optimized structure of TaFeIr2. Source: the Alexandria database, functional SCAN.

- SG: P4/mmm
- VASP energy: -229.32 eV/cell
- Calculated formation energy: -2.413 eV per formula unit

Cell and atoms, written as POSCAR:
```
TaFeIr2
1.0
-0.511 -3.181 1.954
2.777 1.047 2.433
-2.597 1.770 2.202
Ir Fe Ta
2 1 1
Direct
0.000 0.500 0.000
0.000 0.000 0.500
0.500 0.000 0.000
0.500 0.500 0.500
```

***

Entry 17:
A PBEsol-optimized structure of FeTcIr2. Source: the Alexandria database, functional SCAN.

- SG: P4/mmm
- VASP energy: -196.35 eV/cell
- Calculated formation energy: -0.967 eV per formula unit

Cell and atoms, written as POSCAR:
```
FeTcIr2
1.0
-1.272 -1.103 2.091
2.313 -0.085 1.362
-1.361 6.751 2.733
Ir Fe Tc
2 1 1
Direct
0.000 0.000 0.745
0.000 0.000 0.255
0.500 0.500 0.500
0.500 0.500 0.000
```

***

Entry 18:
A PBEsol-optimized structure of Fe2TcIr. Source: the Alexandria database, functional SCAN.

- SG: Pmm2
- VASP energy: -142.51 eV/cell
- Calculated formation energy: -0.091 eV per formula unit

Cell and atoms, written as POSCAR:
```
Fe2TcIr
1.0
-0.045 -2.624 0.027
3.526 -0.053 0.784
-1.120 0.071 5.043
Fe Tc Ir
2 1 1
Direct
0.000 0.000 0.007
0.500 0.500 0.232
0.500 0.500 0.770
0.000 0.000 0.491
```

***

Entry 19:
A PBEsol-optimized structure of Fe4TcIr. Source: the Alexandria database, functional SCAN.

- SG: F-43m
- VASP energy: -178.62 eV/cell
- Calculated formation energy: 0.054 eV per formula unit

Cell and atoms, written as POSCAR:
```
Fe4TcIr
1.0
4.605 0.000 0.000
2.302 3.988 0.000
2.302 1.329 3.760
Tc Fe Ir
1 4 1
Direct
0.000 0.000 0.000
0.375 0.375 0.375
0.874 0.375 0.375
0.375 0.375 0.874
0.375 0.874 0.375
0.750 0.750 0.750
```

***

Entry 20:
A PBEsol-optimized structure of FeTeIr. Source: the Alexandria database, functional SCAN.

- SG: P3m1
- VASP energy: -125.55 eV/cell

Cell and atoms, written as POSCAR:
```
FeTeIr
1.0
-0.735 3.639 -0.375
-1.529 -2.464 -2.349
-3.442 -0.419 2.681
Fe Ir Te
1 1 1
Direct
0.000 0.000 0.945
0.333 0.667 0.722
0.667 0.333 0.333
```

***

Entry 21:
A PBEsol-optimized structure of FeTeIr4. Source: the Alexandria database, functional SCAN.

- SG: F-43m
- VASP energy: -336.17 eV/cell

Cell and atoms, written as POSCAR:
```
FeTeIr4
1.0
5.183 0.000 0.000
2.591 4.488 0.000
2.591 1.496 4.232
Ir Fe Te
4 1 1
Direct
0.626 0.123 0.626
0.123 0.626 0.626
0.626 0.626 0.626
0.626 0.626 0.123
0.000 0.000 0.000
0.250 0.250 0.250
```

***

Entry 22:
A PBEsol-optimized structure of TiFeIr3. Source: the Alexandria database, functional SCAN.

- SG: Pm-3m
- VASP energy: -240.77 eV/cell
- Calculated formation energy: 6.685 eV per formula unit

Cell and atoms, written as POSCAR:
```
TiFeIr3
1.0
-0.555 1.002 -4.336
-2.669 -3.571 -0.484
-3.561 2.521 1.039
Ti Fe Ir
1 1 3
Direct
0.000 0.000 0.000
0.500 0.500 0.500
0.500 0.000 0.000
0.000 0.000 0.500
0.000 0.500 0.000
```

***

Entry 23:
A PBEsol-optimized structure of Ti2FeIr. Source: the Alexandria database, functional SCAN.

- SG: Fm-3m
- VASP energy: -124.59 eV/cell
- Calculated formation energy: -3.299 eV per formula unit

Cell and atoms, written as POSCAR:
```
Ti2FeIr
1.0
4.264 0.000 0.000
2.132 3.692 0.000
2.132 1.231 3.481
Ir Ti Fe
1 2 1
Direct
0.000 0.000 0.000
0.750 0.750 0.750
0.250 0.250 0.250
0.500 0.500 0.500
```

***

Entry 24:
A PBEsol-optimized structure of TlFeIr. Source: the Alexandria database, functional SCAN.

- SG: P3m1
- VASP energy: -160.04 eV/cell
- Calculated formation energy: 1.543 eV per formula unit

Cell and atoms, written as POSCAR:
```
TlFeIr
1.0
2.902 0.000 0.000
-1.451 2.513 0.000
0.000 0.000 6.591
Ir Tl Fe
1 1 1
Direct
0.667 0.333 0.691
0.333 0.667 0.327
0.000 0.000 0.982
```

***

Entry 25:
A PBEsol-optimized structure of FeIrW. Source: the Alexandria database, functional SCAN.

- SG: F-43m
- VASP energy: -157.66 eV/cell
- Calculated formation energy: 1.253 eV per formula unit

Cell and atoms, written as POSCAR:
```
FeIrW
1.0
-1.428 -2.864 -2.500
-0.420 -3.819 1.316
-3.708 -1.547 0.592
Fe Ir W
1 1 1
Direct
0.000 0.000 0.000
0.500 0.500 0.500
0.250 0.250 0.250
```

***

Entry 26:
A PBEsol-optimized structure of Fe4IrW. Source: the Alexandria database, functional SCAN.

- SG: F-43m
- VASP energy: -213.44 eV/cell
- Calculated formation energy: -0.130 eV per formula unit

Cell and atoms, written as POSCAR:
```
Fe4IrW
1.0
-0.034 -0.353 4.611
-1.328 -3.949 2.007
3.114 -2.669 2.138
Fe W Ir
4 1 1
Direct
0.872 0.376 0.376
0.376 0.872 0.376
0.376 0.376 0.872
0.376 0.376 0.376
0.000 0.000 0.000
0.750 0.750 0.750
```

***

Entry 27:
A PBEsol-optimized structure of YFeIr2. Source: the Alexandria database, functional SCAN.

- SG: C2/m
- VASP energy: -188.92 eV/cell
- Calculated formation energy: -0.747 eV per formula unit

Cell and atoms, written as POSCAR:
```
YFeIr2
1.0
-0.438 -1.571 -2.398
1.233 -2.992 3.488
-4.953 0.386 0.653
Y Ir Fe
1 2 1
Direct
0.500 0.000 0.000
0.262 0.524 0.291
0.738 0.476 0.709
0.000 0.000 0.500
```

***

Entry 28:
A PBEsol-optimized structure of Y2FeIr. Source: the Alexandria database, functional SCAN.

- SG: R3m
- VASP energy: -146.85 eV/cell
- Calculated formation energy: -1.939 eV per formula unit

Cell and atoms, written as POSCAR:
```
Y2FeIr
1.0
4.040 0.000 0.000
2.020 3.499 0.000
2.020 1.166 6.726
Ir Fe Y
1 1 2
Direct
0.206 0.206 0.383
0.545 0.545 0.366
0.965 0.965 0.105
0.785 0.785 0.645
```

***

Entry 29:
A PBEsol-optimized structure of YFeIr2. Source: the Alexandria database, functional SCAN.

- SG: F-43m
- VASP energy: -188.43 eV/cell
- Calculated formation energy: -0.257 eV per formula unit

Cell and atoms, written as POSCAR:
```
YFeIr2
1.0
-0.218 -2.844 -3.470
-0.496 -4.404 0.733
-3.883 -2.021 -1.007
Ir Y Fe
2 1 1
Direct
0.750 0.750 0.750
0.000 0.000 0.000
0.250 0.250 0.250
0.500 0.500 0.500
```

***

Entry 30:
A PBEsol-optimized structure of Y2FeIr. Source: the Alexandria database, functional SCAN.

- SG: Pmm2
- VASP energy: -145.12 eV/cell
- Calculated formation energy: -0.201 eV per formula unit

Cell and atoms, written as POSCAR:
```
Y2FeIr
1.0
-0.144 -0.868 -3.029
0.928 -4.233 1.169
-5.488 -1.049 0.561
Fe Y Ir
1 2 1
Direct
0.000 0.000 0.455
0.500 0.500 0.312
0.000 0.000 0.935
0.500 0.500 0.798
```

***

Entry 31:
A PBEsol-optimized structure of ZnFe2Ir. Source: the Alexandria database, functional SCAN.

- SG: Pmmm
- VASP energy: -121.35 eV/cell
- Calculated formation energy: -0.481 eV per formula unit

Cell and atoms, written as POSCAR:
```
ZnFe2Ir
1.0
2.611 0.000 0.036
0.000 3.716 0.000
-0.070 0.000 5.103
Fe Ir Zn
2 1 1
Direct
0.000 0.000 0.753
0.000 0.000 0.247
0.500 0.500 0.000
0.500 0.500 0.500
```